# 1
Here is an optimized crystal structure of NpUPd from Alexandria via LeMat-Bulk. Energies are from PBE.

a = 10.8096 Å, b = 10.8096 Å, c = 10.8096 Å
α = 162.00°, β = 162.00°, γ = 25.56°
With the nearest neighbours (Å) after each atom.
Positions (direct):
Np (0.1464, 0.1464, 0.0000)  4 U 2.66, 4 Pd 2.97
Np (0.8536, 0.8536, 0.0000)  4 U 2.66, 4 Pd 2.97
U (0.2978, 0.2978, 0.0000)  4 Np 2.66, 1 Pd 2.94
U (0.7022, 0.7022, 0.0000)  4 Np 2.66, 1 Pd 2.94
Pd (0.4373, 0.4373, 0.0000)  1 Pd 2.64, 1 U 2.94
Pd (0.5627, 0.5627, 0.0000)  1 Pd 2.64, 1 U 2.94

# 2
Here is an optimized crystal structure of Np2VPd9 from Alexandria via LeMat-Bulk. Energies are from PBE.

a = 4.0754 Å, b = 4.0754 Å, c = 12.1516 Å
α = 90.00°, β = 90.00°, γ = 90.00°
With the nearest neighbours (Å) after each atom.
Positions (direct):
Np (0.0000, 0.0000, 0.1744)  12 Pd 2.88-2.94
Np (0.0000, 0.0000, 0.8256)  12 Pd 2.88-2.94
V (0.0000, 0.0000, 0.5000)  12 Pd 2.76-2.88
Pd (0.0000, 0.5000, 0.0000)  8 Pd 2.88-2.93, 4 Np 2.94
Pd (0.0000, 0.5000, 0.3464)  8 Pd 2.76-2.93, 2 V 2.76, 2 Np 2.92
Pd (0.0000, 0.5000, 0.6536)  8 Pd 2.76-2.93, 2 V 2.76, 2 Np 2.92
Pd (0.5000, 0.0000, 0.0000)  8 Pd 2.88-2.93, 4 Np 2.94
Pd (0.5000, 0.0000, 0.3464)  8 Pd 2.76-2.93, 2 V 2.76, 2 Np 2.92
Pd (0.5000, 0.0000, 0.6536)  8 Pd 2.76-2.93, 2 V 2.76, 2 Np 2.92
Pd (0.5000, 0.5000, 0.1730)  4 Np 2.88, 8 Pd 2.93
Pd (0.5000, 0.5000, 0.5000)  8 Pd 2.76, 4 V 2.88
Pd (0.5000, 0.5000, 0.8270)  4 Np 2.88, 8 Pd 2.93

# 3
Here is an optimized crystal structure of NpV2Pd from Alexandria via LeMat-Bulk. Energies are from PBE.

Calculated values
Polymorph energy (0 for the lowest one) in meV per atom: 86

a = 9.7492 Å, b = 9.7492 Å, c = 9.7492 Å
α = 16.13°, β = 16.13°, γ = 16.13°
With the nearest neighbours (Å) after each atom.
Positions (direct):
Np (0.0000, 0.0000, 0.0000)  6 Np 2.74, 6 V 3.03
V (0.2436, 0.2436, 0.2436)  3 Pd 2.72, 6 V 2.74, 3 Np 3.03
V (0.7564, 0.7564, 0.7564)  3 Pd 2.72, 6 V 2.74, 3 Np 3.03
Pd (0.5000, 0.5000, 0.5000)  6 V 2.72, 6 Pd 2.74

# 4
Here is an optimized crystal structure of NpV2Pd from Alexandria via LeMat-Bulk. Energies are from PBE.

Calculated values
Polymorph energy (0 for the lowest one) in meV per atom: 87

a = 3.1918 Å, b = 3.1918 Å, c = 6.0761 Å
α = 90.00°, β = 90.00°, γ = 90.00°
With the nearest neighbours (Å) after each atom.
Positions (direct):
Np (0.0000, 0.0000, 0.0000)  8 V 2.64
V (0.5000, 0.5000, 0.2260)  4 Np 2.64, 1 V 2.75, 4 Pd 2.80
V (0.5000, 0.5000, 0.7740)  4 Np 2.64, 1 V 2.75, 4 Pd 2.80
Pd (0.0000, 0.0000, 0.5000)  8 V 2.80, 2 Np 3.04

# 5
Here is an optimized crystal structure of NpV2Pd from Alexandria via LeMat-Bulk. Energies are from PBE.

Calculated values
Polymorph energy (0 for the lowest one) in meV per atom: 0

a = 4.6830 Å, b = 4.6830 Å, c = 2.8110 Å
α = 90.00°, β = 90.00°, γ = 90.00°
With the nearest neighbours (Å) after each atom.
Positions (direct):
Np (0.0000, 0.0000, 0.0000)  8 V 2.73, 2 Np 2.81
V (0.0000, 0.5000, 0.5000)  4 Np 2.73, 4 Pd 2.73, 2 V 2.81
V (0.5000, 0.0000, 0.5000)  4 Np 2.73, 4 Pd 2.73, 2 V 2.81
Pd (0.5000, 0.5000, 0.0000)  8 V 2.73, 2 Pd 2.81

# 6
Here is an optimized crystal structure of NpVPd6 from Alexandria via LeMat-Bulk. Energies are from PBE.

a = 4.0369 Å, b = 4.0369 Å, c = 8.0143 Å
α = 90.00°, β = 90.00°, γ = 90.00°
With the nearest neighbours (Å) after each atom.
Positions (direct):
Np (0.0000, 0.0000, 0.0000)  12 Pd 2.85-2.93
V (0.0000, 0.0000, 0.5000)  12 Pd 2.76-2.85
Pd (0.0000, 0.5000, 0.2652)  8 Pd 2.76-2.93, 2 V 2.76, 2 Np 2.93
Pd (0.0000, 0.5000, 0.7348)  8 Pd 2.76-2.93, 2 V 2.76, 2 Np 2.93
Pd (0.5000, 0.0000, 0.2652)  8 Pd 2.76-2.93, 2 V 2.76, 2 Np 2.93
Pd (0.5000, 0.0000, 0.7348)  8 Pd 2.76-2.93, 2 V 2.76, 2 Np 2.93
Pd (0.5000, 0.5000, 0.0000)  4 Np 2.85, 8 Pd 2.93
Pd (0.5000, 0.5000, 0.5000)  8 Pd 2.76, 4 V 2.85

# 7
Here is an optimized crystal structure of NpVPd14 from Alexandria via LeMat-Bulk. Energies are from PBE.

a = 5.7029 Å, b = 5.7029 Å, c = 7.7511 Å
α = 90.00°, β = 90.00°, γ = 90.00°
With the nearest neighbours (Å) after each atom.
Positions (direct):
Np (0.0000, 0.0000, 0.0000)  12 Pd 2.80-2.85
V (0.5000, 0.5000, 0.0000)  12 Pd 2.74-2.85
Pd (0.0000, 0.0000, 0.5000)  12 Pd 2.85
Pd (0.0000, 0.5000, 0.0000)  8 Pd 2.77, 2 V 2.85, 2 Np 2.85
Pd (0.0000, 0.5000, 0.5000)  12 Pd 2.82-2.85
Pd (0.2550, 0.2550, 0.2453)  1 V 2.74, 10 Pd 2.77-2.91, 1 Np 2.80
Pd (0.2550, 0.2550, 0.7547)  1 V 2.74, 10 Pd 2.77-2.91, 1 Np 2.80
Pd (0.2550, 0.7450, 0.2453)  1 V 2.74, 10 Pd 2.77-2.91, 1 Np 2.80
Pd (0.2550, 0.7450, 0.7547)  1 V 2.74, 10 Pd 2.77-2.91, 1 Np 2.80
Pd (0.5000, 0.0000, 0.0000)  8 Pd 2.77, 2 V 2.85, 2 Np 2.85
Pd (0.5000, 0.0000, 0.5000)  12 Pd 2.82-2.85
Pd (0.5000, 0.5000, 0.5000)  12 Pd 2.79-2.85
Pd (0.7450, 0.2550, 0.2453)  1 V 2.74, 10 Pd 2.77-2.91, 1 Np 2.80
Pd (0.7450, 0.2550, 0.7547)  1 V 2.74, 10 Pd 2.77-2.91, 1 Np 2.80
Pd (0.7450, 0.7450, 0.2453)  1 V 2.74, 10 Pd 2.77-2.91, 1 Np 2.80
Pd (0.7450, 0.7450, 0.7547)  1 V 2.74, 10 Pd 2.77-2.91, 1 Np 2.80

# 8
Here is an optimized crystal structure of YNpPd14 from Alexandria via LeMat-Bulk. Energies are from PBE.

a = 5.7996 Å, b = 5.7996 Å, c = 7.8550 Å
α = 90.00°, β = 90.00°, γ = 90.00°
With the nearest neighbours (Å) after each atom.
Positions (direct):
Y (0.0000, 0.0000, 0.0000)  12 Pd 2.89-2.90
Np (0.5000, 0.5000, 0.0000)  12 Pd 2.85-2.90
Pd (0.0000, 0.0000, 0.5000)  12 Pd 2.83-2.90
Pd (0.0000, 0.5000, 0.0000)  8 Pd 2.87, 2 Np 2.90, 2 Y 2.90
Pd (0.0000, 0.5000, 0.5000)  12 Pd 2.81-2.90
Pd (0.2531, 0.2531, 0.2553)  10 Pd 2.79-2.94, 1 Np 2.85, 1 Y 2.89
Pd (0.2531, 0.2531, 0.7447)  10 Pd 2.79-2.94, 1 Np 2.85, 1 Y 2.89
Pd (0.2531, 0.7469, 0.2553)  10 Pd 2.79-2.94, 1 Np 2.85, 1 Y 2.89
Pd (0.2531, 0.7469, 0.7447)  10 Pd 2.79-2.94, 1 Np 2.85, 1 Y 2.89
Pd (0.5000, 0.0000, 0.0000)  8 Pd 2.87, 2 Np 2.90, 2 Y 2.90
Pd (0.5000, 0.0000, 0.5000)  12 Pd 2.81-2.90
Pd (0.5000, 0.5000, 0.5000)  12 Pd 2.79-2.90
Pd (0.7469, 0.2531, 0.2553)  10 Pd 2.79-2.94, 1 Np 2.85, 1 Y 2.89
Pd (0.7469, 0.2531, 0.7447)  10 Pd 2.79-2.94, 1 Np 2.85, 1 Y 2.89
Pd (0.7469, 0.7469, 0.2553)  10 Pd 2.79-2.94, 1 Np 2.85, 1 Y 2.89
Pd (0.7469, 0.7469, 0.7447)  10 Pd 2.79-2.94, 1 Np 2.85, 1 Y 2.89

# 9
Here is an optimized crystal structure of YNpPd6 from Alexandria via LeMat-Bulk. Energies are from PBE.

a = 4.1308 Å, b = 4.1308 Å, c = 8.2692 Å
α = 90.00°, β = 90.00°, γ = 90.00°
With the nearest neighbours (Å) after each atom.
Positions (direct):
Y (0.0000, 0.0000, 0.0000)  12 Pd 2.92-2.94
Np (0.0000, 0.0000, 0.5000)  12 Pd 2.90-2.92
Pd (0.0000, 0.5000, 0.2538)  2 Np 2.90, 8 Pd 2.90-2.94, 2 Y 2.94
Pd (0.0000, 0.5000, 0.7462)  8 Pd 2.90-2.94, 2 Np 2.90, 2 Y 2.94
Pd (0.5000, 0.0000, 0.2538)  2 Np 2.90, 8 Pd 2.90-2.94, 2 Y 2.94
Pd (0.5000, 0.0000, 0.7462)  8 Pd 2.90-2.94, 2 Np 2.90, 2 Y 2.94
Pd (0.5000, 0.5000, 0.0000)  4 Y 2.92, 8 Pd 2.94
Pd (0.5000, 0.5000, 0.5000)  8 Pd 2.90, 4 Np 2.92

# 10
Here is an optimized crystal structure of YNpPd4 from Alexandria via LeMat-Bulk. Energies are from PBE.

a = 5.4492 Å, b = 5.4492 Å, c = 5.4492 Å
α = 60.00°, β = 60.00°, γ = 60.00°
With the nearest neighbours (Å) after each atom.
Positions (direct):
Y (0.0000, 0.0000, 0.0000)  12 Pd 3.20, 4 Np 3.34
Np (0.2500, 0.2500, 0.2500)  12 Pd 3.19, 4 Y 3.34
Pd (0.1255, 0.6248, 0.6248)  6 Pd 2.72-2.73
Pd (0.6248, 0.1255, 0.6248)  6 Pd 2.72-2.73
Pd (0.6248, 0.6248, 0.1255)  6 Pd 2.72-2.73
Pd (0.6248, 0.6248, 0.6248)  6 Pd 2.72-2.73

# 11
Here is an optimized crystal structure of Np2Zn15Pd2 from Alexandria via LeMat-Bulk. Energies are from PBE.

a = 6.7939 Å, b = 6.7939 Å, c = 6.7939 Å
α = 83.11°, β = 83.11°, γ = 83.11°
With the nearest neighbours (Å) after each atom.
Positions (direct):
Np (0.1578, 0.1578, 0.1578)  1 Pd 3.01, 12 Zn 3.16-3.36
Np (0.8422, 0.8422, 0.8422)  1 Pd 3.01, 12 Zn 3.16-3.36
Zn (0.0000, 0.5000, 0.5000)  8 Zn 2.57-2.63, 2 Pd 2.70
Zn (0.1476, 0.1476, 0.6547)  8 Zn 2.60-2.76, 1 Pd 2.80
Zn (0.1476, 0.6547, 0.1476)  8 Zn 2.60-2.76, 1 Pd 2.80
Zn (0.2114, 0.5000, 0.7886)  8 Zn 2.57-2.76
Zn (0.2114, 0.7886, 0.5000)  8 Zn 2.57-2.76
Zn (0.3453, 0.8524, 0.8524)  8 Zn 2.60-2.76, 1 Pd 2.80
Zn (0.5000, 0.0000, 0.5000)  8 Zn 2.57-2.63, 2 Pd 2.70
Zn (0.5000, 0.2114, 0.7886)  8 Zn 2.57-2.76
Zn (0.5000, 0.5000, 0.0000)  8 Zn 2.57-2.63, 2 Pd 2.70
Zn (0.5000, 0.7886, 0.2114)  8 Zn 2.57-2.76
Zn (0.6547, 0.1476, 0.1476)  8 Zn 2.60-2.76, 1 Pd 2.80
Zn (0.7886, 0.2114, 0.5000)  8 Zn 2.57-2.76
Zn (0.7886, 0.5000, 0.2114)  8 Zn 2.57-2.76
Zn (0.8524, 0.3453, 0.8524)  8 Zn 2.60-2.76, 1 Pd 2.80
Zn (0.8524, 0.8524, 0.3453)  8 Zn 2.60-2.76, 1 Pd 2.80
Pd (0.3876, 0.3876, 0.3876)  12 Zn 2.70-2.99, 1 Pd 2.94, 1 Np 3.01
Pd (0.6124, 0.6124, 0.6124)  12 Zn 2.70-2.99, 1 Pd 2.94, 1 Np 3.01

# 12
Here is an optimized crystal structure of NpZnPd2 from Alexandria via LeMat-Bulk. Energies are from PBE.

a = 3.1340 Å, b = 3.1340 Å, c = 7.1143 Å
α = 90.00°, β = 90.00°, γ = 90.00°
With the nearest neighbours (Å) after each atom.
Positions (direct):
Np (0.0000, 0.0000, 0.0000)  8 Pd 3.04, 4 Np 3.13
Zn (0.0000, 0.0000, 0.5000)  8 Pd 2.66
Pd (0.5000, 0.5000, 0.2933)  4 Zn 2.66, 1 Pd 2.94
Pd (0.5000, 0.5000, 0.7067)  4 Zn 2.66, 1 Pd 2.94

| no. | total magnetic moment (μB per atom) | Fermi-level density of states (states/eV per cell) | energy of formation from the pure elements (eV/f.u.) |
| --- | --- | --- | --- |
| 1 | 0.000 | 6.82 | 0.28 |
| 2 | 0.692 | 26.80 | -4.23 |
| 3 | 0.354 | 6.55 | 0.77 |
| 4 | 0.387 | 5.46 | 0.78 |
| 5 | 0.437 | 6.26 | 0.43 |
| 6 | 0.590 | 15.52 | -2.50 |
| 7 | 0.176 | 26.99 | -3.08 |
| 8 | 0.154 | 26.72 | -5.28 |
| 9 | 0.376 | 13.70 | -5.31 |
| 10 | 0.704 | 14.35 | -3.07 |
| 11 | 0.447 | 23.14 | -2.69 |
| 12 | 1.071 | 6.44 | -1.21 |